Entry 1:
Compound: Ce6CoOsPb2
Source: Alexandria via LeMat-Bulk
Functional: PBE
Structure: optimized geometry

Lattice parameters (Å, degrees): 7.471 7.471 7.471 120.33 120.33 89.43
Fractional positions:
Ce  0.243  0.243  0.487
Ce  0.243  0.757  0.000
Ce  0.247  0.247  0.000
Ce  0.753  0.753  0.000
Ce  0.757  0.243  0.000
Ce  0.757  0.757  0.513
Co  0.000  0.000  0.000
Os  0.500  0.500  0.000
Pb  0.250  0.750  0.500
Pb  0.750  0.250  0.500

calculated density: 8.51 Mg/m³
formation energy: -0.2397 eV/atom
raw total energy: -6.38 eV per atom
M_tot: 4.6 Bohr magnetons per cell
D(E_F): 3.141 states/eV per atom



Entry 2:
Compound: CePrCoOs
Source: Alexandria via LeMat-Bulk
Functional: PBE
Structure: optimized geometry

Lattice parameters (Å, degrees): 4.927 4.927 4.927 60.00 60.00 60.00
Fractional positions:
Ce  0.000  0.000  0.000
Pr  0.500  0.500  0.500
Co  0.750  0.750  0.750
Os  0.250  0.250  0.250

calculated density: 10.41 Mg/m³
formation energy: 0.0277 eV/atom
raw total energy: -7.23 eV per atom
M_tot: 0.5 Bohr magnetons per cell
D(E_F): 0.612 states/eV per atom



Entry 3:
Compound: CePuCoOs
Source: Alexandria via LeMat-Bulk
Functional: PBE
Structure: optimized geometry

Lattice parameters (Å, degrees): 4.804 4.804 4.804 60.00 60.00 60.00
Fractional positions:
Ce  0.000  0.000  0.000
Pu  0.500  0.500  0.500
Co  0.250  0.250  0.250
Os  0.750  0.750  0.750

calculated density: 13.42 Mg/m³
formation energy: -0.0393 eV/atom
raw total energy: -9.69 eV per atom
M_tot: 4.4 Bohr magnetons per cell
D(E_F): 1.815 states/eV per atom



Entry 4:
Compound: CeScCoOs
Source: Alexandria via LeMat-Bulk
Functional: PBE
Structure: optimized geometry

Lattice parameters (Å, degrees): 4.683 4.683 4.683 60.00 60.00 60.00
Fractional positions:
Ce  0.000  0.000  0.000
Sc  0.500  0.500  0.500
Co  0.250  0.250  0.250
Os  0.750  0.750  0.750

calculated density: 9.93 Mg/m³
formation energy: -0.2421 eV/atom
raw total energy: -7.89 eV per atom
M_tot: 0.4 Bohr magnetons per cell
D(E_F): 0.389 states/eV per atom



Entry 5:
Compound: CeCoSi3Os
Source: Alexandria via LeMat-Bulk
Functional: PBE
Structure: optimized geometry

Lattice parameters (Å, degrees): 6.553 6.553 5.512 90.00 90.00 113.19
Fractional positions:
Ce  0.249  0.751  0.750
Ce  0.751  0.249  0.250
Co  0.049  0.951  0.250
Co  0.951  0.049  0.750
Si  0.238  0.762  0.250
Si  0.239  0.239  0.000
Si  0.239  0.239  0.500
Si  0.761  0.761  0.000
Si  0.761  0.761  0.500
Si  0.762  0.238  0.750
Os  0.442  0.558  0.250
Os  0.558  0.442  0.750

calculated density: 7.23 Mg/m³
energy relative to the elements, uncorrected: -0.366 eV/atom
raw total energy: -7.12 eV per atom
M_tot: 2.3 Bohr magnetons per cell
D(E_F): 1.269 states/eV per atom



Entry 6:
Compound: CeSmCoOs
Source: Alexandria via LeMat-Bulk
Functional: PBE
Structure: optimized geometry

Lattice parameters (Å, degrees): 4.874 4.874 4.874 60.00 60.00 60.00
Fractional positions:
Ce  0.000  0.000  0.000
Sm  0.500  0.500  0.500
Co  0.750  0.750  0.750
Os  0.250  0.250  0.250

calculated density: 10.94 Mg/m³
formation energy: -0.0590 eV/atom
raw total energy: -7.31 eV per atom
M_tot: 0.4 Bohr magnetons per cell
D(E_F): 0.508 states/eV per atom



Entry 7:
Compound: TbCeCoOs
Source: Alexandria via LeMat-Bulk
Functional: PBE
Structure: optimized geometry

Lattice parameters (Å, degrees): 4.832 4.832 4.832 60.00 60.00 60.00
Fractional positions:
Tb  0.000  0.000  0.000
Ce  0.500  0.500  0.500
Co  0.750  0.750  0.750
Os  0.250  0.250  0.250

calculated density: 11.41 Mg/m³
formation energy: -0.1317 eV/atom
raw total energy: -7.36 eV per atom
M_tot: 0.4 Bohr magnetons per cell
D(E_F): 0.454 states/eV per atom



Entry 8:
Compound: CeTmCoOs
Source: Alexandria via LeMat-Bulk
Functional: PBE
Structure: optimized geometry

Lattice parameters (Å, degrees): 4.788 4.788 4.788 60.00 60.00 60.00
Fractional positions:
Ce  0.000  0.000  0.000
Tm  0.500  0.500  0.500
Co  0.750  0.750  0.750
Os  0.250  0.250  0.250

calculated density: 11.94 Mg/m³
formation energy: -0.1955 eV/atom
raw total energy: -7.38 eV per atom
M_tot: 0.5 Bohr magnetons per cell
D(E_F): 0.467 states/eV per atom



Entry 9:
Compound: CeUCoOs
Source: Alexandria via LeMat-Bulk
Functional: PBE
Structure: optimized geometry

Lattice parameters (Å, degrees): 4.597 4.597 4.597 60.00 60.00 60.00
Fractional positions:
Ce  0.000  0.000  0.000
U  0.250  0.250  0.250
Co  0.750  0.750  0.750
Os  0.500  0.500  0.500

calculated density: 15.16 Mg/m³
formation energy: -0.0487 eV/atom
raw total energy: -8.94 eV per atom
M_tot: 0.5 Bohr magnetons per cell
D(E_F): 1.923 states/eV per atom



Entry 10:
Compound: CeYCoOs
Source: Alexandria via LeMat-Bulk
Functional: PBE
Structure: optimized geometry

Lattice parameters (Å, degrees): 4.829 4.829 4.829 60.00 60.00 60.00
Fractional positions:
Ce  0.000  0.000  0.000
Y  0.500  0.500  0.500
Co  0.750  0.750  0.750
Os  0.250  0.250  0.250

calculated density: 9.97 Mg/m³
formation energy: -0.1335 eV/atom
raw total energy: -7.82 eV per atom
M_tot: 0.4 Bohr magnetons per cell
D(E_F): 0.472 states/eV per atom



Entry 11:
Compound: CeZrCoOs
Source: Alexandria via LeMat-Bulk
Functional: PBE
Structure: optimized geometry

Lattice parameters (Å, degrees): 4.710 4.710 4.710 60.00 60.00 60.00
Fractional positions:
Ce  0.000  0.000  0.000
Zr  0.500  0.500  0.500
Co  0.250  0.250  0.250
Os  0.750  0.750  0.750

calculated density: 10.80 Mg/m³
formation energy: -0.1606 eV/atom
raw total energy: -8.36 eV per atom
M_tot: 0.0 Bohr magnetons per cell
D(E_F): 1.256 states/eV per atom



Entry 12:
Compound: Ce2Co5P4
Source: Alexandria via LeMat-Bulk
Functional: PBE
Structure: optimized geometry

Lattice parameters (Å, degrees): 7.996 6.972 5.380 79.55 59.03 41.42
Fractional positions:
Ce  0.139  0.139  0.861
Ce  0.861  0.861  0.139
Co  0.000  0.000  0.500
Co  0.250  0.250  0.250
Co  0.500  0.500  0.000
Co  0.500  0.500  0.500
Co  0.750  0.750  0.750
P  0.214  0.528  0.472
P  0.472  0.786  0.214
P  0.528  0.214  0.786
P  0.786  0.472  0.528

calculated density: 7.31 Mg/m³
formation energy: -0.8038 eV/atom
raw total energy: -7.08 eV per atom
M_tot: 0.9 Bohr magnetons per cell
D(E_F): 0.960 states/eV per atom



Entry 13:
Compound: CeCoP
Source: Alexandria via LeMat-Bulk
Functional: PBE
Structure: optimized geometry

Lattice parameters (Å, degrees): 4.571 4.571 4.571 125.48 125.48 80.74
Fractional positions:
Ce  0.000  0.000  0.000
Co  0.704  0.704  0.000
P  0.397  0.397  0.000

calculated density: 6.25 Mg/m³
formation energy: -0.4127 eV/atom
raw total energy: -6.56 eV per atom
M_tot: 0.0 Bohr magnetons per cell
D(E_F): 0.305 states/eV per atom



Entry 14:
Compound: CeCo5P2
Source: Alexandria via LeMat-Bulk
Functional: PBE
Structure: optimized geometry

Lattice parameters (Å, degrees): 5.751 5.751 5.751 143.50 112.93 78.85
Fractional positions:
Ce  0.000  0.000  0.000
Co  0.159  0.352  0.807
Co  0.455  0.648  0.807
Co  0.500  0.000  0.500
Co  0.545  0.352  0.193
Co  0.841  0.648  0.193
P  0.259  0.759  0.500
P  0.741  0.241  0.500

calculated density: 8.11 Mg/m³
formation energy: -0.6547 eV/atom
raw total energy: -7.19 eV per atom
M_tot: 0.0 Bohr magnetons per cell
D(E_F): 0.811 states/eV per atom



Entry 15:
Compound: Ce3Co2P4
Source: Alexandria via LeMat-Bulk
Functional: PBE
Structure: optimized geometry

Lattice parameters (Å, degrees): 6.166 6.166 8.180 116.82 116.82 37.22
Fractional positions:
Ce  0.000  0.000  0.000
Ce  0.372  0.372  0.283
Ce  0.628  0.628  0.717
Co  0.313  0.313  0.619
Co  0.687  0.687  0.381
P  0.102  0.102  0.400
P  0.312  0.312  0.893
P  0.688  0.688  0.107
P  0.898  0.898  0.600

calculated density: 6.65 Mg/m³
formation energy: -1.1240 eV/atom
raw total energy: -7.09 eV per atom
M_tot: 0.0 Bohr magnetons per cell
D(E_F): 1.105 states/eV per atom



Entry 16:
Compound: CeCo4P4
Source: Alexandria via LeMat-Bulk
Functional: PBE
Structure: optimized geometry

Lattice parameters (Å, degrees): 5.774 5.774 5.774 98.24 98.24 135.51
Fractional positions:
Ce  0.000  0.000  0.000
Co  0.113  0.623  0.736
Co  0.377  0.113  0.490
Co  0.623  0.887  0.510
Co  0.887  0.377  0.264
P  0.196  0.344  0.539
P  0.344  0.804  0.148
P  0.656  0.196  0.852
P  0.804  0.656  0.461

calculated density: 6.65 Mg/m³
formation energy: -0.6724 eV/atom
raw total energy: -6.89 eV per atom
M_tot: 0.3 Bohr magnetons per cell
D(E_F): 0.532 states/eV per atom



Entry 17:
Compound: CeCoP2
Source: Alexandria via LeMat-Bulk
Functional: PBE
Structure: optimized geometry

Lattice parameters (Å, degrees): 7.255 7.255 7.255 34.92 34.92 34.92
Fractional positions:
Ce  0.000  0.000  0.000
Co  0.500  0.500  0.500
P  0.395  0.395  0.395
P  0.605  0.605  0.605

calculated density: 3.88 Mg/m³
formation energy: -0.0212 eV/atom
raw total energy: -5.99 eV per atom
M_tot: 3.0 Bohr magnetons per cell
D(E_F): 1.850 states/eV per atom



Entry 18:
Compound: Ce2Co3P
Source: Alexandria via LeMat-Bulk
Functional: PBE
Structure: optimized geometry

Lattice parameters (Å, degrees): 7.872 7.823 5.513 69.92 68.96 41.12
Fractional positions:
Ce  0.247  0.753  0.753
Ce  0.250  0.250  0.250
Ce  0.750  0.750  0.750
Ce  0.753  0.247  0.247
Co  0.160  0.670  0.330
Co  0.330  0.840  0.160
Co  0.332  0.332  0.668
Co  0.668  0.668  0.332
Co  0.670  0.160  0.840
Co  0.840  0.330  0.670
P  0.168  0.168  0.832
P  0.832  0.832  0.168

calculated density: 7.83 Mg/m³
formation energy: -0.5452 eV/atom
raw total energy: -6.98 eV per atom
M_tot: 0.0 Bohr magnetons per cell
D(E_F): 1.343 states/eV per atom



Entry 19:
Compound: Ce2Co3P4
Source: Alexandria via LeMat-Bulk
Functional: PBE
Structure: optimized geometry

Lattice parameters (Å, degrees): 7.496 6.463 5.338 78.22 57.58 44.20
Fractional positions:
Ce  0.146  0.146  0.854
Ce  0.854  0.854  0.146
Co  0.000  0.000  0.500
Co  0.500  0.500  0.000
Co  0.500  0.500  0.500
P  0.198  0.521  0.479
P  0.479  0.802  0.198
P  0.521  0.198  0.802
P  0.802  0.479  0.521

calculated density: 6.66 Mg/m³
formation energy: -0.7773 eV/atom
raw total energy: -6.87 eV per atom
M_tot: 3.4 Bohr magnetons per cell
D(E_F): 1.257 states/eV per atom



Entry 20:
Compound: CeCo2P
Source: Alexandria via LeMat-Bulk
Functional: PBE
Structure: optimized geometry

Lattice parameters (Å, degrees): 3.692 3.692 9.060 90.00 90.00 90.00
Fractional positions:
Ce  0.250  0.250  0.212
Ce  0.750  0.750  0.788
Co  0.250  0.250  0.887
Co  0.250  0.750  0.500
Co  0.750  0.250  0.500
Co  0.750  0.750  0.113
P  0.250  0.250  0.638
P  0.750  0.750  0.362

calculated density: 7.77 Mg/m³
formation energy: -0.6849 eV/atom
raw total energy: -7.07 eV per atom
M_tot: 0.0 Bohr magnetons per cell
D(E_F): 0.880 states/eV per atom